Record 1
DFT (PBE) results for a relaxed structure of ZnCr.

Calculated values
**Raw total energy**: -5.129 eV per atom
**Formation energy from the elements**: 319 meV/atom
**Volume**: 26 Å³ per cell
**Crystal system**: hexagonal

Cell: 2.5940 2.5940 4.4255 Å, 90.00 90.00 120.00°
Space group P-6m2 (No. 187)
Asymmetric unit:
Zn 0.0000 0.0000 0.0000 x1
Cr 0.6667 0.3333 0.5000 x1


Record 2
DFT (PBE) results for a relaxed structure of TbScPa2P4.

Calculated values
**Raw total energy**: -7.859 eV per atom
**Formation energy from the elements**: -1410 meV/atom
**Volume**: 172 Å³ per cell
**Crystal system**: monoclinic

Cell: 6.787 3.943 6.823 Å, 90.00 109.59 90.00°
Space group P2/m (No. 10)
Asymmetric unit:
Tb 0.000 0.000 0.000 x1
Sc 0.000 0.500 0.500 x1
Pa 0.500 0.000 0.500 x1
Pa 0.500 0.500 0.000 x1
P 0.244 0.000 0.741 x2
P 0.249 0.500 0.256 x2